VASP calculation (PBEsol) on a geometry-optimized KHgF3 structure.

Computed properties:
Formation energy (no corrections), meV per atom: -1982
Total magnetization, μB/f.u.: 0.00
Calculated density, g/cm³: 5.1

abc: 4.179 4.179 12.717
angles: 90.00 90.00 120.00
Element x y z (fractional)
K 0.000 0.000 0.000
K 0.000 0.000 0.500
Hg 0.333 0.667 0.250
Hg 0.667 0.333 0.750
F 0.000 0.000 0.250
F 0.000 0.000 0.750
F 0.333 0.667 0.086
F 0.333 0.667 0.414
F 0.667 0.333 0.586
F 0.667 0.333 0.914

***

VASP calculation (PBEsol) on a geometry-optimized KHgOF2 structure.

Computed properties:
Formation energy (no corrections), meV per atom: -1336
Total magnetization, μB/f.u.: 0.42
Calculated density, g/cm³: 5.7

abc: 4.588 4.588 4.049
angles: 90.00 90.00 90.00
Element x y z (fractional)
K 0.000 0.000 0.000
Hg 0.500 0.500 0.500
O 0.500 0.500 0.000
F 0.000 0.500 0.500
F 0.500 0.000 0.500

***

VASP calculation (PBEsol) on a geometry-optimized K2TlHgF6 structure.

Computed properties:
Formation energy (no corrections), meV per atom: -2030
Total magnetization, μB/f.u.: 0.00
Calculated density, g/cm³: 5.2

abc: 6.456 6.456 6.456
angles: 60.00 60.00 60.00
Element x y z (fractional)
K 0.250 0.250 0.250
K 0.750 0.750 0.750
Tl 0.000 0.000 0.000
Hg 0.500 0.500 0.500
F 0.250 0.250 0.750
F 0.250 0.750 0.250
F 0.250 0.750 0.750
F 0.750 0.250 0.250
F 0.750 0.250 0.750
F 0.750 0.750 0.250

***

VASP calculation (PBEsol) on a geometry-optimized LaHgSbF2 structure.

Computed properties:
Formation energy (no corrections), meV per atom: -2010
Total magnetization, μB/f.u.: 0.00
Calculated density, g/cm³: 6.3

abc: 4.416 4.416 6.724
angles: 90.00 90.00 90.00
Element x y z (fractional)
La 0.000 0.000 0.000
Hg 0.000 0.000 0.500
Sb 0.500 0.500 0.500
F 0.000 0.500 0.000
F 0.500 0.000 0.000